! ZnCoO2 GGA+U optimized geometry; values from VASP
&SYSTEM
  ibrav = 0, nat = 4, ntyp = 3
/
ATOMIC_SPECIES
Zn 65.41 Zn.upf
Co 58.93 Co.upf
O 16.00 O.upf
ATOMIC_POSITIONS crystal
Zn 0.000 0.000 0.000
Co 0.500 0.500 0.500
O 0.398 0.398 0.398
O 0.602 0.602 0.602
CELL_PARAMETERS angstrom
1.527 0.882 5.735
-1.527 0.882 5.735
0.000 -1.764 5.735
! crystal system = trigonal
! symmetry = R-3m
! E_tot = -4.9348 eV per atom